Entry 1:
LiSbAs2 GGA-PBE relaxed; V = 20.803 Å³/atom; formation energy without anion corrections = -0.010 eV per atom; spin magnetization = 0.0000 μB/atom; raw total energy = -15.37 eV/cell
1.0
4.400 0.000 0.000
0.000 4.400 0.000
0.000 0.000 4.298
Li Sb As
1 1 2
Direct
0.000 0.000 0.000 Li
0.500 0.500 0.000 Sb
0.000 0.500 0.500 As
0.500 0.000 0.500 As

Entry 2:
LiSbAs2Se GGA-PBE relaxed; V = 20.940 Å³/atom; energy relative to the lowest polymorph listed for this composition = 0.0 meV per atom; formation energy without anion corrections = 0.397 eV per atom; spin magnetization = 0.0000 μB/atom; raw total energy = -16.84 eV/cell
1.0
4.660 0.000 0.000
0.000 4.660 0.000
0.000 0.000 4.822
Li Sb As Se
1 1 2 1
Direct
0.000 0.000 0.000 Li
0.500 0.500 0.500 Sb
0.000 0.500 0.000 As
0.500 0.000 0.000 As
0.000 0.000 0.500 Se

Entry 3:
LiSbAsSe2 GGA-PBE relaxed; V = 31.242 Å³/atom; energy relative to the lowest polymorph listed for this composition = 0.0 meV per atom; formation energy without anion corrections = 0.265 eV per atom; spin magnetization = 0.2305 μB/atom; raw total energy = -16.33 eV/cell
1.0
5.422 0.000 0.000
0.000 5.422 0.000
0.000 0.000 5.314
Li Sb As Se
1 1 1 2
Direct
0.000 0.000 0.000 Li
0.500 0.500 0.500 Sb
0.500 0.500 0.000 As
0.000 0.500 0.500 Se
0.500 0.000 0.500 Se

What did the third record say?
LiSbAsSe2 GGA-PBE relaxed; V = 31.242 Å³/atom; energy relative to the lowest polymorph listed for this composition = 0.0 meV per atom; formation energy without anion corrections = 0.265 eV per atom; spin magnetization = 0.2305 μB/atom; raw total energy = -16.33 eV/cell
1.0
5.422 0.000 0.000
0.000 5.422 0.000
0.000 0.000 5.314
Li Sb As Se
1 1 1 2
Direct
0.000 0.000 0.000 Li
0.500 0.500 0.500 Sb
0.500 0.500 0.000 As
0.000 0.500 0.500 Se
0.500 0.000 0.500 Se

What did the second record say?
LiSbAs2Se GGA-PBE relaxed; V = 20.940 Å³/atom; energy relative to the lowest polymorph listed for this composition = 0.0 meV per atom; formation energy without anion corrections = 0.397 eV per atom; spin magnetization = 0.0000 μB/atom; raw total energy = -16.84 eV/cell
1.0
4.660 0.000 0.000
0.000 4.660 0.000
0.000 0.000 4.822
Li Sb As Se
1 1 2 1
Direct
0.000 0.000 0.000 Li
0.500 0.500 0.500 Sb
0.000 0.500 0.000 As
0.500 0.000 0.000 As
0.000 0.000 0.500 Se